Here is a geometry-optimized LiAlCrPd structure from Alexandria via LeMat-Bulk. Energies are from PBE.

## Properties
mass density = 5.7 g cm⁻³
total magnetization = 13.164 μB per cell
total energy = -5.40 eV/atom

Geometry as POSCAR:
```
LiAlCrPd
1.0
6.075 0.000 0.000
0.000 6.075 0.000
0.000 0.000 6.075
Li Al Cr Pd
4 4 4 4
direct
0.000 0.000 0.000 Li
0.000 0.500 0.500 Li
0.500 0.000 0.500 Li
0.500 0.500 0.000 Li
0.000 0.000 0.500 Al
0.000 0.500 0.000 Al
0.500 0.000 0.000 Al
0.500 0.500 0.500 Al
0.250 0.250 0.250 Cr
0.250 0.750 0.750 Cr
0.750 0.250 0.750 Cr
0.750 0.750 0.250 Cr
0.250 0.250 0.750 Pd
0.250 0.750 0.250 Pd
0.750 0.250 0.250 Pd
0.750 0.750 0.750 Pd
```



Here is a geometry-optimized LiAlCrRe structure from Alexandria via LeMat-Bulk. Energies are from PBE.

## Properties
mass density = 8.6 g cm⁻³
total magnetization = 0.020 μB per cell
total energy = -6.95 eV/atom

Geometry as POSCAR:
```
LiAlCrRe
1.0
5.955 0.000 0.000
0.000 5.955 0.000
0.000 0.000 5.955
Li Al Cr Re
4 4 4 4
direct
0.000 0.000 0.000 Li
0.000 0.500 0.500 Li
0.500 0.000 0.500 Li
0.500 0.500 0.000 Li
0.250 0.250 0.250 Al
0.250 0.750 0.750 Al
0.750 0.250 0.750 Al
0.750 0.750 0.250 Al
0.250 0.250 0.750 Cr
0.250 0.750 0.250 Cr
0.750 0.250 0.250 Cr
0.750 0.750 0.750 Cr
0.000 0.000 0.500 Re
0.000 0.500 0.000 Re
0.500 0.000 0.000 Re
0.500 0.500 0.500 Re
```



Here is a geometry-optimized LiAl2CrRu structure from Alexandria via LeMat-Bulk. Energies are from PBE.

## Properties
mass density = 3.9 g cm⁻³
total magnetization = 0.258 μB per cell
total energy = -4.79 eV/atom

Geometry as POSCAR:
```
LiAl2CrRu
1.0
4.560 0.000 0.000
0.000 4.560 0.000
0.000 0.000 4.386
Li Al Cr Ru
1 2 1 1
direct
0.000 0.000 0.000 Li
0.000 0.500 0.500 Al
0.500 0.000 0.500 Al
0.500 0.500 0.000 Cr
0.000 0.000 0.500 Ru
```



Here is a geometry-optimized Li2TaAlCr structure from Alexandria via LeMat-Bulk. Energies are from PBE.

## Properties
mass density = 5.7 g cm⁻³
total magnetization = 1.202 μB per cell
total energy = -4.76 eV/atom

Geometry as POSCAR:
```
Li2TaAlCr
1.0
4.154 0.000 0.000
0.000 4.154 0.000
0.000 0.000 4.618
Li Ta Al Cr
2 1 1 1
direct
0.000 0.500 0.000 Li
0.500 0.000 0.000 Li
0.000 0.000 0.500 Ta
0.500 0.500 0.000 Al
0.500 0.500 0.500 Cr
```



Here is a geometry-optimized LiTmAlCr structure from Alexandria via LeMat-Bulk. Energies are from PBE.

## Properties
mass density = 5.7 g cm⁻³
total magnetization = 18.482 μB per cell
total energy = -4.93 eV/atom

Geometry as POSCAR:
```
LiTmAlCr
1.0
6.685 0.000 0.000
0.000 6.685 0.000
0.000 0.000 6.685
Li Tm Al Cr
4 4 4 4
direct
0.000 0.000 0.000 Li
0.000 0.500 0.500 Li
0.500 0.000 0.500 Li
0.500 0.500 0.000 Li
0.250 0.250 0.750 Tm
0.250 0.750 0.250 Tm
0.750 0.250 0.250 Tm
0.750 0.750 0.750 Tm
0.250 0.250 0.250 Al
0.250 0.750 0.750 Al
0.750 0.250 0.750 Al
0.750 0.750 0.250 Al
0.000 0.000 0.500 Cr
0.000 0.500 0.000 Cr
0.500 0.000 0.000 Cr
0.500 0.500 0.500 Cr
```



Here is a geometry-optimized LiAlV2Cr structure from Alexandria via LeMat-Bulk. Energies are from PBE.

## Properties
mass density = 4.4 g cm⁻³
total magnetization = 0.092 μB per cell
total energy = -5.71 eV/atom

Geometry as POSCAR:
```
LiAlV2Cr
1.0
4.178 0.000 0.000
0.000 4.178 0.000
0.000 0.000 4.075
Li Al V Cr
1 1 2 1
direct
0.000 0.000 0.000 Li
0.500 0.500 0.500 Al
0.000 0.500 0.000 V
0.500 0.000 0.000 V
0.000 0.000 0.500 Cr
```